[1]
Entry from the Alexandria database: a geometry-optimized In2OsPt structure (PBE).

The space group is Pmm2 (No. 25) and the conventional cell measures 2.9538, 4.2949 and 5.7217 Å, with angles of 90.00, 90.00 and 90.00 degrees. The asymmetric unit holds In at (0.0000, 0.0000, 0.0000), In at (0.5000, 0.5000, 0.3325), Os at (0.0000, 0.0000, 0.5040) and Pt at (0.5000, 0.5000, 0.8157).

The total magnetic moment is 0.0465 μB/atom. The calculation puts the calculated formation energy at 0.235 eV/atom. The value obtained for the final energy is -5.45 eV/atom. Its density of states at the Fermi level is 2.7 states/eV/f.u.

=====

[2]
Entry from the Alexandria database: a geometry-optimized KTlVB2 structure (PBE).

The space group is P4/mmm (No. 123) and the conventional cell measures 4.3395, 4.3395 and 5.2176 Å, with angles of 90.00, 90.00 and 90.00 degrees. The asymmetric unit holds K at (0.0000, 0.0000, 0.0000), Tl at (0.5000, 0.5000, 0.0000), V at (0.5000, 0.5000, 0.5000) and B at (0.0000, 0.5000, 0.5000).

The total magnetic moment is 0.0000 μB/atom. The calculation puts the calculated formation energy at 0.982 eV/atom. The value obtained for the final energy is -4.21 eV/atom. Its density of states at the Fermi level is 2.7 states/eV/f.u.

=====

[3]
Entry from the Alexandria database: a geometry-optimized CaFe3Re structure (PBE).

The space group is Pm-3m (No. 221) and the conventional cell measures 4.6029, 4.6029 and 4.6029 Å, with angles of 90.00, 90.00 and 90.00 degrees. The asymmetric unit holds Ca at (0.0000, 0.0000, 0.0000), Fe at (0.0000, 0.5000, 0.5000) and Re at (0.5000, 0.5000, 0.5000).

The total magnetic moment is 1.1977 μB/atom. The calculation puts the calculated formation energy at 0.945 eV/atom. The value obtained for the final energy is -7.02 eV/atom. Its density of states at the Fermi level is 5.3 states/eV/f.u. As for the distance to the lowest polymorph of the same formula: 0.000 eV/atom.

=====

[4]
Entry from the Alexandria database: a geometry-optimized NdDyYZr structure (PBE).

The space group is F-43m (No. 216) and the conventional cell measures 7.8377, 7.8377 and 7.8377 Å, with angles of 90.00, 90.00 and 90.00 degrees. The asymmetric unit holds Nd at (0.0000, 0.0000, 0.0000), Dy at (0.2500, 0.2500, 0.2500), Y at (0.2500, 0.2500, 0.7500) and Zr at (0.0000, 0.0000, 0.5000).

The total magnetic moment is 0.4046 μB/atom. The calculation puts the calculated formation energy at 0.229 eV/atom. The value obtained for the final energy is -5.87 eV/atom. Its density of states at the Fermi level is 7.7 states/eV/f.u.

=====

[5]
Entry from the Alexandria database: a geometry-optimized SmAl8Co2 structure (PBE).

The space group is Pbam (No. 55) and the conventional cell measures 12.4313, 14.3857 and 3.9854 Å, with angles of 90.00, 90.00 and 90.00 degrees. The asymmetric unit holds Sm at (0.1590, 0.1806, 0.0000), Al at (0.0000, 0.0000, 0.0000), Al at (0.0000, 0.5000, 0.5000), Al at (0.0256, 0.8679, 0.5000), Al at (0.0469, 0.3202, 0.5000), Al at (0.0968, 0.7474, 0.0000), Al at (0.1593, 0.4558, 0.0000), Al at (0.1598, 0.6211, 0.5000), Al at (0.1688, 0.0083, 0.5000), Al at (0.2366, 0.8269, 0.5000), Co at (0.0348, 0.5948, 0.0000) and Co at (0.1523, 0.9038, 0.0000).

The total magnetic moment is 0.0000 μB/atom. The calculation puts the calculated formation energy at -0.470 eV/atom. The value obtained for the final energy is -4.91 eV/atom. Its density of states at the Fermi level is 3.1 states/eV/f.u. As for the distance to the lowest polymorph of the same formula: 0.000 eV/atom.

=====

[6]
Entry from the Alexandria database: a geometry-optimized LiLaTl2 structure (PBE).

The space group is R-3m (No. 166, hexagonal axes) and the conventional cell measures 3.5574, 3.5574 and 30.4737 Å, with angles of 90.00, 90.00 and 120.00 degrees. The asymmetric unit holds Li at (0.0000, 0.0000, 0.0000), La at (0.0000, 0.0000, 0.5000) and Tl at (0.0000, 0.0000, 0.2599).

The total magnetic moment is 0.0844 μB/atom. The calculation puts the calculated formation energy at -0.144 eV/atom. The value obtained for the final energy is -3.04 eV/atom. Its density of states at the Fermi level is 3.6 states/eV/f.u.

=====

[7]
Entry from the Alexandria database: a geometry-optimized ZrSc3Re structure (PBE).

The space group is Pm-3m (No. 221) and the conventional cell measures 5.0243, 5.0243 and 5.0243 Å, with angles of 90.00, 90.00 and 90.00 degrees. The asymmetric unit holds Zr at (0.0000, 0.0000, 0.0000), Sc at (0.0000, 0.5000, 0.5000) and Re at (0.5000, 0.5000, 0.5000).

The total magnetic moment is 0.0001 μB/atom. The calculation puts the calculated formation energy at 0.454 eV/atom. The value obtained for the final energy is -7.54 eV/atom. Its density of states at the Fermi level is 7.8 states/eV/f.u. As for the distance to the lowest polymorph of the same formula: 0.000 eV/atom.

=====

[8]
Entry from the Alexandria database: a geometry-optimized CaCu2W structure (PBE).

The space group is Fm-3m (No. 225) and the conventional cell measures 6.4815, 6.4815 and 6.4815 Å, with angles of 90.00, 90.00 and 90.00 degrees. The asymmetric unit holds Ca at (0.0000, 0.0000, 0.0000), Cu at (0.2500, 0.2500, 0.2500) and W at (0.0000, 0.0000, 0.5000).

The total magnetic moment is 0.4278 μB/atom. The calculation puts the calculated formation energy at 0.678 eV/atom. The value obtained for the final energy is -5.11 eV/atom. Its density of states at the Fermi level is 3.3 states/eV/f.u. As for the distance to the lowest polymorph of the same formula: 0.278 eV/atom.

=====

The highest final energy belongs to which entry?
LiLaTl2

=====

Among the records above, which one has the lowest final energy?
ZrSc3Re

=====

The highest total magnetic moment belongs to which entry?
CaFe3Re

=====

What is the formula in the eighth record?
CaCu2W